# 1
A geometry-optimized YCu2PbAu structure. Source: the Alexandria database, functional PBE.

The structure belongs to space group P4/mmm (No. 123); the cell edges are 4.828, 4.828 and 5.404 Å and the angles 90.00°, 90.00° and 90.00°. The inequivalent atoms are Y at (0.000, 0.000, 0.000), Cu at (0.000, 0.500, 0.500), Pb at (0.500, 0.500, 0.500) and Au at (0.500, 0.500, 0.000).

For the volume, the calculation gives 126 Å³ per cell. The calculation puts the total magnetization at 0.00 μB per formula unit. For the formation energy, the calculation gives 0.44 eV/atom.

# 2
A geometry-optimized KRb6Na4 structure. Source: the Alexandria database, functional PBE.

The structure belongs to space group P1 (No. 1); the cell edges are 8.262, 8.330 and 12.095 Å and the angles 106.41°, 104.76° and 99.18°. The inequivalent atoms are K at (0.000, 0.000, 0.000), Rb at (0.056, 0.651, 0.593), Rb at (0.192, 0.494, 0.925), Rb at (0.399, 0.447, 0.353), Rb at (0.495, 0.076, 0.928), Rb at (0.717, 0.058, 0.606), Rb at (0.833, 0.653, 0.189), Na at (0.212, 0.143, 0.542), Na at (0.384, 0.917, 0.255), Na at (0.606, 0.553, 0.757) and Na at (0.829, 0.183, 0.302).

For the volume, the calculation gives 748 Å³ per cell. The calculation puts the total magnetization at 0.00 μB per formula unit. For the formation energy, the calculation gives 0.03 eV/atom.

# 3
A geometry-optimized LiAcScIr structure. Source: the Alexandria database, functional PBE.

The structure belongs to space group F-43m (No. 216); the cell edges are 7.114, 7.114 and 7.114 Å and the angles 90.00°, 90.00° and 90.00°. The inequivalent atoms are Li at (0.000, 0.000, 0.000), Ac at (0.250, 0.250, 0.250), Sc at (0.250, 0.250, 0.750) and Ir at (0.000, 0.000, 0.500).

For the volume, the calculation gives 360 Å³ per cell. The calculation puts the total magnetization at 0.00 μB per formula unit. For the formation energy, the calculation gives -0.32 eV/atom.

# 4
A geometry-optimized Rb4Pm3PuTe8 structure. Source: the Alexandria database, functional PBE.

The structure belongs to space group R-3m (No. 166, hexagonal axes); the cell edges are 9.2532, 9.2532 and 25.6462 Å and the angles 90.00°, 90.00° and 120.00°. The inequivalent atoms are Rb at (0.0000, 0.0000, 0.0000), Rb at (0.0000, 0.5000, 0.0000), Pm at (0.0000, 0.5000, 0.5000), Pu at (0.0000, 0.0000, 0.5000), Te at (0.0000, 0.0000, 0.2348) and Te at (0.0011, 0.5006, 0.2341).

For the volume, the calculation gives 1902 Å³ per cell. The calculation puts the total magnetization at 5.00 μB per formula unit. The energy is -236.3 eV per cell.

# 5
A geometry-optimized Cs2MnTe2 structure. Source: the Alexandria database, functional PBE.

The structure belongs to space group Ibam (No. 72); the cell edges are 8.024, 15.469 and 7.290 Å and the angles 90.00°, 90.00° and 90.00°. The inequivalent atoms are Cs at (0.175, 0.145, 0.000), Mn at (0.000, 0.500, 0.250) and Te at (0.179, 0.401, 0.000).

For the volume, the calculation gives 905 Å³ per cell. The calculation puts the total magnetization at 5.00 μB per formula unit. The energy is -84.5 eV per cell.

# 6
A geometry-optimized LaTlRe structure. Source: the Alexandria database, functional PBE.

The structure belongs to space group F-43m (No. 216); the cell edges are 7.101, 7.101 and 7.101 Å and the angles 90.00°, 90.00° and 90.00°. The inequivalent atoms are La at (0.000, 0.000, 0.000), Tl at (0.250, 0.250, 0.750) and Re at (0.250, 0.250, 0.250).

For the volume, the calculation gives 358 Å³ per cell. The calculation puts the total magnetization at 1.39 μB per formula unit. The value obtained for the energy above the most stable polymorph in this dataset is 1.400 eV/atom. For the formation energy, the calculation gives 1.35 eV/atom.